{
  "formula": "Ba2CaHfGa",
  "functional": "GGA-PBEsol",
  "state": "relaxed",
  "lattice_angstrom": [[6.068, 0.000, 0.000], [0.000, 6.068, 0.000], [0.000, 0.000, 5.282]],
  "species": ["Ba", "Ba", "Ca", "Hf", "Ga"],
  "frac_coords": [[0.000, 0.500, 0.000], [0.500, 0.000, 0.000], [0.000, 0.000, 0.000], [0.000, 0.000, 0.500], [0.500, 0.500, 0.500]],
  "spacegroup": "P4/mmm, No. 123",
  "mass_density_g_cm3": 4.805,
  "m_tot_mub_per_fu": 0.00,
  "formation_energy_ev_per_atom": 1.181
}